(1)
This record from the Open Quantum Materials Database describes an optimized crystal structure of DyHo2Ga. The functional is GGA-PBE.

Geometry as POSCAR:
```
DyHo2Ga
1.0
-2.9261 -2.6317 3.4171
1.2991 -5.8361 -3.3823
5.4605 -3.7734 1.7698
Ga Ho Dy
2 4 2
Direct
0.5000 0.1727 0.6772
0.5000 0.6772 0.1727
0.5000 0.1579 0.1579
0.0000 0.3249 0.8254
0.0000 0.8415 0.8415
0.0000 0.8254 0.3249
0.0000 0.3425 0.3425
0.5000 0.6580 0.6580
```

Space-group type ... No. 38
Excess energy over the best structure of this formula in the dataset ... 116 meV/atom
Electronic total energy ... -4.335 eV per atom
Crystal system ... orthorhombic
Total magnetic moment ... 0.058 Bohr magnetons per cell



(2)
This record from the Open Quantum Materials Database describes an optimized crystal structure of DyHoGa4. The functional is GGA-PBE.

Geometry as POSCAR:
```
DyHoGa4
1.0
4.3209 0.0000 0.0000
0.0000 2.1491 6.6989
0.0000 -2.1491 6.6989
Dy Ga Ho
1 4 1
Direct
0.0000 0.3487 0.3487
0.0000 0.0003 0.0003
0.5000 0.1756 0.1756
0.5000 0.5004 0.5004
0.5000 0.8237 0.8237
0.0000 0.6513 0.6513
```

Space-group type ... No. 38
Electronic total energy ... -4.077 eV per atom
Crystal system ... orthorhombic
Total magnetic moment ... 0.000 Bohr magnetons per cell



(3)
This record from the Open Quantum Materials Database describes an optimized crystal structure of DyHoGa. The functional is GGA-PBE.

Geometry as POSCAR:
```
DyHoGa
1.0
4.6660 -1.5416 0.7261
2.1336 0.5517 4.4518
0.8880 -3.9784 2.8388
Ga Ho Dy
1 1 1
Direct
0.0000 0.0000 0.0000
0.7500 0.7500 0.7500
0.2500 0.2500 0.2500
```

Space-group type ... No. 216
Excess energy over the best structure of this formula in the dataset ... 0 meV/atom
Electronic total energy ... -4.320 eV per atom
Crystal system ... cubic
Total magnetic moment ... 0.034 Bohr magnetons per cell